# 1
Entry from Alexandria: a geometry-optimized PuCuHg structure (PBE-GGA).

Results
Space group: No. 63
Crystal system: orthorhombic
N(E_F) (states/eV/f.u.): 12.08
E (eV/atom): -6.29
E_form (eV/atom): -0.05
ρ (g cm⁻³): 12.6

Cell and atoms, written as extended XYZ:
```
6
Lattice="4.156 0.000 0.000 0.000 3.746 -0.869 0.000 0.028 8.629" Properties=species:S:1:pos:R:3 pbc="T T T"
Pu 3.117 0.377 1.627
Pu 1.039 3.396 6.133
Hg 3.117 1.125 4.849
Hg 1.039 2.649 2.911
Cu 1.039 2.023 0.212
Cu 3.117 1.751 7.548
```

---

# 2
Entry from Alexandria: a geometry-optimized CuHgTeN2 structure (PBE-GGA).

Results
Space group: No. 123
Crystal system: tetragonal
N(E_F) (states/eV/f.u.): 3.95
E (eV/atom): -2.90
ρ (g cm⁻³): 6.2

Cell and atoms, written as extended XYZ:
```
5
Lattice="4.173 0.000 0.000 0.000 4.173 0.000 0.000 0.000 6.495" Properties=species:S:1:pos:R:3 pbc="T T T"
Cu 2.087 2.087 3.248
N 2.087 0.000 0.000
N 0.000 2.087 0.000
Hg 0.000 0.000 0.000
Te 0.000 0.000 3.248
```

---

# 3
Entry from Alexandria: a geometry-optimized Sr2CaOsO8 structure (PBE-GGA).

Results
Space group: No. 2
Crystal system: triclinic
N(E_F) (states/eV/f.u.): 0.90
E (eV/atom): -6.52
ρ (g cm⁻³): 5.4

Cell and atoms, written as extended XYZ:
```
12
Lattice="-1.000 2.304 -4.846 -3.107 -3.179 -0.861 -5.884 2.465 2.689" Properties=species:S:1:pos:R:3 pbc="T T T"
Os 0.000 0.000 0.000
O -6.202 -0.194 -2.199
O -3.698 -1.535 -0.014
O -1.356 0.255 -1.252
O -8.636 1.336 -1.765
O -7.817 0.177 0.703
O -3.790 1.785 -0.818
O -6.294 3.126 -3.004
O -2.174 1.414 -3.721
Sr -6.312 1.862 -0.699
Sr -3.679 -0.272 -2.318
Ca -2.942 1.233 1.344
```

---

# 4
Entry from Alexandria: a geometry-optimized CaCePm2 structure (PBE-GGA).

Results
Space group: No. 123
Crystal system: tetragonal
N(E_F) (states/eV/f.u.): 6.86
E (eV/atom): -4.28
E_form (eV/atom): 0.08
ρ (g cm⁻³): 5.7

Cell and atoms, written as extended XYZ:
```
4
Lattice="-1.735 -3.172 0.152 0.833 -0.621 -3.466 8.858 -4.704 2.972" Properties=species:S:1:pos:R:3 pbc="T T T"
Ce -0.451 -1.897 -1.657
Pm 6.860 -3.642 2.301
Pm 1.998 -1.061 0.670
Ca 3.978 -4.248 -0.171
```